SbBr2Cl meta-GGA SCAN single point on PBEsol structure; total moment = 0.0 μB/f.u.; D(E_F) = 0.274 states/eV per atom; calculated total energy = -84.241 eV per cell
1.0
3.7226 0.0000 0.0000
0.0000 3.7226 0.0000
0.0000 0.0000 6.6777
Sb Br Cl
1 2 1
Direct
0.0000 0.0000 0.0000 Sb
0.5000 0.5000 0.2379 Br
0.5000 0.5000 0.7621 Br
0.0000 0.0000 0.5000 Cl